Entry from Alexandria: an optimized crystal structure of Nd2InHg (PBE-GGA).

Results
For the density of states at the Fermi level, the calculation gives 0.880 states/eV per atom. The volume is 31.2 Å³ per atom. The total energy is -0.2546 Ry per atom. The space group is R-3m.

a = 9.889 Å, b = 9.889 Å, c = 9.889 Å
α = 22.57°, β = 22.57°, γ = 22.57°
Element x y z (fractional)
Nd 0.249 0.249 0.249
Nd 0.751 0.751 0.751
In 0.000 0.000 0.000
Hg 0.500 0.500 0.500